[1]
The following is a GGA-PBE calculation of Er2ZnRu3 after structural relaxation, from Alexandria.

a = 5.287 Å, b = 5.287 Å, c = 5.287 Å
α = 60.84°, β = 60.84°, γ = 60.84°
Fractional positions:
Er 0.123 0.123 0.123
Er 0.877 0.877 0.877
Zn 0.500 0.500 0.500
Ru 0.000 0.500 0.500
Ru 0.500 0.000 0.500
Ru 0.500 0.500 0.000

Formation energy from the elements: -0.35 eV/atom

[2]
The following is a GGA-PBE calculation of Er3Zn8Ru after structural relaxation, from Alexandria.

a = 9.295 Å, b = 9.295 Å, c = 9.295 Å
α = 32.75°, β = 32.75°, γ = 32.75°
Fractional positions:
Er 0.000 0.000 0.000
Er 0.126 0.126 0.126
Er 0.609 0.609 0.609
Zn 0.055 0.055 0.557
Zn 0.055 0.557 0.055
Zn 0.068 0.559 0.559
Zn 0.308 0.308 0.308
Zn 0.557 0.055 0.055
Zn 0.559 0.068 0.559
Zn 0.559 0.559 0.068
Zn 0.810 0.810 0.810
Ru 0.502 0.502 0.502

Formation energy from the elements: -0.29 eV/atom

[3]
The following is a GGA-PBE calculation of Er6Zn5Ru after structural relaxation, from Alexandria.

a = 7.808 Å, b = 7.808 Å, c = 7.046 Å
α = 90.00°, β = 90.00°, γ = 143.04°
Fractional positions:
Er 0.000 0.000 0.239
Er 0.000 0.000 0.761
Er 0.339 0.661 0.245
Er 0.339 0.661 0.755
Er 0.661 0.339 0.245
Er 0.661 0.339 0.755
Zn 0.168 0.832 0.500
Zn 0.173 0.827 0.000
Zn 0.500 0.500 0.500
Zn 0.827 0.173 0.000
Zn 0.832 0.168 0.500
Ru 0.500 0.500 0.000

Formation energy from the elements: -0.40 eV/atom

[4]
The following is a GGA-PBE calculation of Er2Zn2Ru after structural relaxation, from Alexandria.

a = 5.546 Å, b = 5.546 Å, c = 5.546 Å
α = 130.00°, β = 128.14°, γ = 74.91°
Fractional positions:
Er 0.186 0.186 0.000
Er 0.814 0.814 0.000
Zn 0.249 0.500 0.749
Zn 0.751 0.500 0.251
Ru 0.500 0.000 0.500

Formation energy from the elements: -0.34 eV/atom

[5]
The following is a GGA-PBE calculation of Er2Zn3Ru after structural relaxation, from Alexandria.

a = 5.303 Å, b = 5.303 Å, c = 5.414 Å
α = 119.29°, β = 119.29°, γ = 60.10°
Fractional positions:
Er 0.128 0.128 0.382
Er 0.872 0.872 0.618
Zn 0.000 0.500 0.000
Zn 0.500 0.000 0.000
Zn 0.500 0.500 0.000
Ru 0.500 0.500 0.500

Relative energy among the computed polymorphs: 0.000 eV/f.u.
Formation energy from the elements: -0.40 eV/atom

[6]
The following is a GGA-PBE calculation of Er4ZnRu3 after structural relaxation, from Alexandria.

a = 4.802 Å, b = 4.802 Å, c = 6.870 Å
α = 90.00°, β = 90.00°, γ = 90.00°
Fractional positions:
Er 0.000 0.500 0.241
Er 0.000 0.500 0.759
Er 0.500 0.000 0.241
Er 0.500 0.000 0.759
Zn 0.000 0.000 0.500
Ru 0.000 0.000 0.000
Ru 0.500 0.500 0.000
Ru 0.500 0.500 0.500

Formation energy from the elements: -0.43 eV/atom